A plane-wave DFT calculation with PBE with a Hubbard U was carried out for a relaxed Ac2DyFeO6 crystal.

Calculated values
Space-group type: P2_1/c (14)
Electronic total energy in Ry per atom: -0.5583

Lattice parameters (Å, degrees): 5.830 5.867 8.268 90.00 89.45 90.00
Fractional positions:
O: 0.920 0.521 0.264
O: 0.580 0.021 0.236
O: 0.199 0.227 0.456
O: 0.730 0.298 0.543
O: 0.699 0.273 0.956
O: 0.270 0.702 0.457
O: 0.420 0.979 0.764
O: 0.801 0.773 0.544
O: 0.080 0.479 0.736
O: 0.301 0.727 0.044
O: 0.770 0.798 0.957
O: 0.230 0.202 0.043
Ac: 0.991 0.036 0.749
Ac: 0.491 0.464 0.249
Ac: 0.509 0.536 0.751
Ac: 0.009 0.964 0.251
Fe: 0.000 0.500 0.500
Fe: 0.500 0.000 0.000
Dy: 0.500 0.000 0.500
Dy: 0.000 0.500 0.000